Ac2ZrO5: optimized geometry, PBE-GGA.

Cell lengths 6.676, 6.676, 8.178 Å; angles 108.32, 108.32, 51.54 degrees
Fractional coordinates of all 16 atoms:
1 Ac 0.146 0.196 0.334
2 Ac 0.196 0.146 0.834
3 Ac 0.804 0.854 0.166
4 Ac 0.854 0.804 0.666
5 Zr 0.500 0.500 0.000
6 Zr 0.500 0.500 0.500
7 O 0.112 0.598 0.401
8 O 0.119 0.602 0.958
9 O 0.379 0.621 0.750
10 O 0.398 0.881 0.542
11 O 0.402 0.888 0.099
12 O 0.598 0.112 0.901
13 O 0.602 0.119 0.458
14 O 0.621 0.379 0.250
15 O 0.881 0.398 0.042
16 O 0.888 0.402 0.599

Computed properties:
ΔE_f (raw) (meV/atom): -3364
Symmetry: C2/c, No. 15